# 1
First-principles (GGA-PBE) data for TmPaHgC after structural relaxation, as listed in the Alexandria database.

Computed properties:
Energy relative to the elements: -361.1 meV/atom
Spin magnetization: 0.0 μB/f.u.

a = 3.495 Å, b = 3.495 Å, c = 8.200 Å
α = 90.00°, β = 102.29°, γ = 120.00°
Positions (direct):
Tm 0.519 0.157 0.691
Pa 0.082 0.939 0.036
Hg 0.974 0.385 0.375
C 0.303 0.550 0.868

=====

# 2
First-principles (GGA-PBE) data for MnFe3Co after structural relaxation, as listed in the Alexandria database.

Computed properties:
Energy relative to the elements: 50.2 meV/atom
Spin magnetization: 10.8 μB/f.u.
Polymorph energy (0 for the lowest one): 0.0 meV/atom

a = 6.197 Å, b = 4.014 Å, c = 4.719 Å
α = 90.00°, β = 77.82°, γ = 90.00°
Last column: magnetic moment on the atom in μB.
Positions (direct):
Mn 0.825 0.426 0.200  2.35
Mn 0.325 0.926 0.700  2.35
Fe 0.622 0.426 0.794  2.29
Fe 0.526 0.926 0.102  2.44
Fe 0.026 0.426 0.602  2.44
Fe 0.122 0.926 0.294  2.29
Fe 0.226 0.426 0.002  2.15
Fe 0.726 0.926 0.502  2.15
Co 0.424 0.426 0.398  1.59
Co 0.924 0.926 0.898  1.59

=====

# 3
First-principles (GGA-PBE) data for TlC2 after structural relaxation, as listed in the Alexandria database.

Computed properties:
Energy relative to the elements: 1602.3 meV/atom
Spin magnetization: 0.0 μB/f.u.
Polymorph energy (0 for the lowest one): 699.9 meV/atom

a = 3.054 Å, b = 3.054 Å, c = 9.672 Å
α = 90.00°, β = 90.00°, γ = 90.00°
Positions (direct):
Tl 0.500 0.000 0.669
Tl 0.000 0.500 0.331
C 0.000 0.000 0.000
C 0.500 0.500 0.000
C 0.500 0.000 0.933
C 0.000 0.500 0.067

=====

# 4
First-principles (GGA-PBE) data for LaSc2CoIr after structural relaxation, as listed in the Alexandria database.

Computed properties:
Energy relative to the elements: 1535.3 meV/atom
Spin magnetization: 0.2 μB/f.u.

a = 5.084 Å, b = 4.795 Å, c = 5.084 Å
α = 90.00°, β = 90.00°, γ = 90.00°
Last column: magnetic moment on the atom in μB.
Positions (direct):
Sc 0.000 0.000 0.500  -0.01
Sc 0.500 0.000 0.000  -0.02
Ir 0.000 0.500 0.000  0.00
Co 0.500 0.500 0.500  0.19
La 0.000 0.000 0.000  0.01

=====

# 5
First-principles (GGA-PBE) data for CaYPt after structural relaxation, as listed in the Alexandria database.

Computed properties:
Energy relative to the elements: -769.6 meV/atom
Spin magnetization: 0.0 μB/f.u.
Polymorph energy (0 for the lowest one): 48.3 meV/atom

a = 4.895 Å, b = 4.895 Å, c = 4.895 Å
α = 60.00°, β = 60.00°, γ = 60.00°
Positions (direct):
Y 0.000 0.000 0.000
Ca 0.500 0.500 0.500
Pt 0.750 0.750 0.750

=====

# 6
First-principles (GGA-PBE) data for Nd6SmDy3Y2 after structural relaxation, as listed in the Alexandria database.

Computed properties:
Energy relative to the elements: 10.4 meV/atom
Spin magnetization: 0.0 μB/f.u.

a = 6.295 Å, b = 6.295 Å, c = 11.923 Å
α = 95.03°, β = 95.03°, γ = 120.00°
Positions (direct):
Nd 0.916 0.583 0.748
Nd 0.751 0.751 0.251
Nd 0.084 0.417 0.252
Nd 0.583 0.916 0.748
Nd 0.249 0.249 0.749
Nd 0.417 0.084 0.252
Sm 0.000 0.000 0.000
Dy 0.167 0.833 0.500
Dy 0.833 0.167 0.500
Dy 0.500 0.500 0.500
Y 0.333 0.667 0.000
Y 0.667 0.333 0.000